A relaxed BaCo2Te crystal. Source: Alexandria, functional PBEsol.

a b c (Å): 4.2473 4.2473 6.0492
angles (deg): 69.45 69.45 60.00
Sites, in units of the cell vectors:
1 Co 0.1884 0.1884 0.4347
2 Co 0.8116 0.8116 0.5653
3 Te 0.5000 0.5000 0.5000
4 Ba 0.0000 0.0000 0.0000

Computed properties:
ΔE_f (raw) in eV/atom: -0.11
M_tot in μB/atom: 0.00
Space group: R-3m (166)